A relaxed structure of CsHoSn. Source: the Open Quantum Materials Database, functional PBE-GGA.

a = 5.459 Å, b = 5.459 Å, c = 5.459 Å
α = 60.00°, β = 60.00°, γ = 60.00°
Positions (direct):
Cs  0.250  0.250  0.250
Sn  0.750  0.750  0.750
Ho  0.000  0.000  0.000

total DFT energy (no corrections) = -2.92 eV per atom
size of the total moment = 0.0 μB/f.u.
E above lowest polymorph = 0.000 eV/atom

A relaxed structure of Rb2Hg2Te3. Source: the Open Quantum Materials Database, functional PBE-GGA.

a = 8.509 Å, b = 8.509 Å, c = 8.509 Å
α = 109.47°, β = 109.47°, γ = 109.47°
Positions (direct):
Rb  0.500  0.000  0.313
Rb  0.313  0.500  0.000
Rb  0.000  0.313  0.500
Rb  0.187  0.187  0.187
Hg  0.861  0.500  0.000
Hg  0.500  0.000  0.861
Hg  0.000  0.861  0.500
Hg  0.639  0.639  0.639
Te  0.082  0.750  0.832
Te  0.668  0.418  0.250
Te  0.832  0.082  0.750
Te  0.418  0.250  0.668
Te  0.750  0.832  0.082
Te  0.250  0.668  0.418

total DFT energy (no corrections) = -1.96 eV per atom
E above lowest polymorph = 0.128 eV/atom

A relaxed structure of YCoAsAu. Source: the Open Quantum Materials Database, functional PBE-GGA.

a = 4.731 Å, b = 4.731 Å, c = 4.731 Å
α = 60.00°, β = 60.00°, γ = 60.00°
Positions (direct):
Co  0.750  0.750  0.750
Au  0.500  0.500  0.500
Y  0.250  0.250  0.250
As  0.000  0.000  0.000

total DFT energy (no corrections) = -5.68 eV per atom
size of the total moment = 1.6 μB/f.u.
E above lowest polymorph = 0.000 eV/atom

A relaxed structure of SrCo2Tc. Source: the Open Quantum Materials Database, functional PBE-GGA.

a = 4.516 Å, b = 4.516 Å, c = 4.516 Å
α = 60.00°, β = 60.00°, γ = 60.00°
Site moments in Bohr magnetons follow the coordinates.
Positions (direct):
Tc  0.000  0.000  0.000  1.47
Sr  0.250  0.250  0.250  -0.03
Co  0.750  0.750  0.750  1.81
Co  0.500  0.500  0.500  1.62

total DFT energy (no corrections) = -5.55 eV per atom
size of the total moment = 4.8 μB/f.u.

A relaxed structure of LaNdOs4C4. Source: the Open Quantum Materials Database, functional PBE-GGA.

a = 6.754 Å, b = 5.841 Å, c = 5.619 Å
α = 72.19°, β = 55.43°, γ = 52.38°
Positions (direct):
C  0.680  0.320  0.680
C  0.933  0.567  0.933
C  0.320  0.680  0.320
C  0.567  0.933  0.567
La  0.000  0.000  0.000
Os  0.637  0.637  0.363
Os  0.363  0.363  0.637
Os  0.886  0.886  0.614
Os  0.614  0.614  0.886
Nd  0.250  0.250  0.250

total DFT energy (no corrections) = -9.11 eV per atom
size of the total moment = 0.0 μB/f.u.

A relaxed structure of BaPrCuTe3. Source: the Open Quantum Materials Database, functional PBE-GGA.

a = 4.655 Å, b = 12.682 Å, c = 12.936 Å
α = 90.00°, β = 90.00°, γ = 90.00°
Positions (direct):
Ba  0.250  0.306  0.504
Ba  0.750  0.194  0.004
Ba  0.250  0.806  0.996
Ba  0.750  0.694  0.496
Cu  0.250  0.736  0.290
Cu  0.250  0.236  0.210
Cu  0.750  0.264  0.710
Cu  0.750  0.764  0.790
Te  0.750  0.959  0.857
Te  0.250  0.541  0.357
Te  0.750  0.281  0.299
Te  0.750  0.106  0.563
Te  0.250  0.719  0.701
Te  0.750  0.781  0.201
Te  0.250  0.894  0.437
Te  0.750  0.459  0.643
Te  0.250  0.219  0.799
Te  0.750  0.606  0.937
Te  0.250  0.041  0.143
Te  0.250  0.394  0.063
Pr  0.250  0.475  0.816
Pr  0.250  0.975  0.684
Pr  0.750  0.525  0.184
Pr  0.750  0.025  0.316

total DFT energy (no corrections) = -4.54 eV per atom
size of the total moment = 0.0 μB/f.u.

A relaxed structure of RbFeCu. Source: the Open Quantum Materials Database, functional PBE-GGA.

a = 4.932 Å, b = 4.932 Å, c = 4.932 Å
α = 60.00°, β = 60.00°, γ = 60.00°
Positions (direct):
Cu  0.000  0.000  0.000
Rb  0.750  0.750  0.750
Fe  0.250  0.250  0.250

total DFT energy (no corrections) = -2.99 eV per atom
size of the total moment = 3.4 μB/f.u.
E above lowest polymorph = 0.000 eV/atom

A relaxed structure of LuNiBiOs. Source: the Open Quantum Materials Database, functional PBE-GGA.

a = 4.762 Å, b = 4.762 Å, c = 4.762 Å
α = 60.00°, β = 60.00°, γ = 60.00°
Positions (direct):
Ni  0.750  0.750  0.750
Bi  0.000  0.000  0.000
Lu  0.250  0.250  0.250
Os  0.500  0.500  0.500

total DFT energy (no corrections) = -5.89 eV per atom
size of the total moment = 1.1 μB/f.u.

> total DFT energy (no corrections) of number 6 (BaPrCuTe3)?

-4.54 eV per atom